No. 1
Cs3InBr8 | Alexandria via LeMat-Bulk | PBE-GGA | relaxed; raw total energy = -2.49 eV/atom; formation energy without anion corrections = -932.1 meV/atom; calculated density = 3.6 g/cm3
1.0
8.146 0.000 0.000
0.000 8.146 0.000
-4.073 -4.073 8.054
Cs Br In
3 8 1
Direct
0.250 0.750 0.500 Cs
0.500 0.500 0.000 Cs
0.750 0.250 0.500 Cs
0.314 0.897 0.211 Br
0.686 0.103 0.789 Br
0.686 0.686 0.789 Br
0.314 0.314 0.211 Br
0.897 0.314 0.211 Br
0.103 0.103 0.789 Br
0.897 0.897 0.211 Br
0.103 0.686 0.789 Br
0.000 0.000 0.000 In



No. 2
CsInBr2 | Alexandria via LeMat-Bulk | PBE-GGA | relaxed; raw total energy = -2.95 eV/atom; formation energy without anion corrections = -1215.8 meV/atom; calculated density = 3.9 g/cm3
1.0
8.663 -0.438 0.000
-2.364 8.779 0.000
0.000 0.000 9.152
Cs In Br
4 4 8
Direct
0.210 0.806 0.571 Cs
0.290 0.194 0.071 Cs
0.790 0.194 0.429 Cs
0.710 0.806 0.929 Cs
0.637 0.669 0.399 In
0.363 0.331 0.601 In
0.863 0.331 0.899 In
0.137 0.669 0.101 In
0.821 0.540 0.670 Br
0.547 0.106 0.775 Br
0.179 0.460 0.330 Br
0.679 0.460 0.170 Br
0.047 0.106 0.725 Br
0.453 0.894 0.225 Br
0.953 0.894 0.275 Br
0.321 0.540 0.830 Br



No. 3
Cs2KInBr5 | Alexandria via LeMat-Bulk | PBE-GGA | relaxed; raw total energy = -2.97 eV/atom; formation energy without anion corrections = -1423.1 meV/atom; calculated density = 3.6 g/cm3
1.0
-0.107 0.910 -5.180
-8.582 -5.327 1.913
-7.185 12.412 2.330
K Br Cs In
2 10 4 2
Direct
0.791 0.581 0.524 K
0.209 0.419 0.024 K
0.036 0.073 0.010 Br
0.964 0.927 0.510 Br
0.711 0.421 0.165 Br
0.622 0.244 0.505 Br
0.289 0.579 0.665 Br
0.513 0.026 0.274 Br
0.487 0.974 0.774 Br
0.667 0.334 0.881 Br
0.378 0.756 0.005 Br
0.333 0.666 0.381 Br
0.888 0.776 0.194 Cs
0.853 0.707 0.819 Cs
0.112 0.224 0.694 Cs
0.147 0.293 0.319 Cs
0.528 0.056 0.952 In
0.472 0.944 0.452 In



No. 4
Cs3K2InBr6 | Alexandria via LeMat-Bulk | PBE-GGA | relaxed; raw total energy = -3.04 eV/atom; formation energy without anion corrections = -1574.5 meV/atom; calculated density = 3.4 g/cm3
1.0
4.974 0.000 0.000
0.000 9.952 0.337
-2.487 -2.884 10.456
Br Cs K In
6 3 2 1
Direct
0.328 0.431 0.656 Br
0.007 0.237 0.013 Br
0.662 0.097 0.323 Br
0.338 0.903 0.677 Br
0.993 0.763 0.987 Br
0.672 0.569 0.344 Br
0.834 0.166 0.669 Cs
0.500 0.500 0.000 Cs
0.166 0.834 0.331 Cs
0.167 0.333 0.334 K
0.833 0.667 0.666 K
0.500 0.000 0.000 In



No. 5
CsK2InBr6 | Alexandria via LeMat-Bulk | PBE-GGA | relaxed; raw total energy = -2.97 eV/atom; formation energy without anion corrections = -1383.0 meV/atom; calculated density = 3.2 g/cm3
1.0
8.208 0.006 0.001
4.109 7.105 -0.001
4.106 2.369 7.160
In Br K Cs
1 6 2 1
Direct
0.326 0.326 0.021 In
0.675 0.146 0.786 Br
0.147 0.393 0.786 Br
0.393 0.674 0.785 Br
0.237 0.989 0.231 Br
0.988 0.544 0.231 Br
0.543 0.237 0.231 Br
0.013 0.013 0.962 K
0.528 0.528 0.416 K
0.811 0.811 0.567 Cs



No. 6
Cs3KIn2Br9 | Alexandria via LeMat-Bulk | PBE-GGA | relaxed; raw total energy = -2.95 eV/atom; formation energy without anion corrections = -1332.4 meV/atom; calculated density = 3.8 g/cm3
1.0
8.075 0.000 0.000
-4.038 6.994 0.000
0.000 0.000 10.676
Cs Br In K
3 9 2 1
Direct
0.667 0.333 0.291 Cs
0.000 0.000 0.000 Cs
0.333 0.667 0.709 Cs
0.500 0.000 0.000 Br
0.660 0.830 0.299 Br
0.340 0.170 0.701 Br
0.830 0.660 0.701 Br
0.500 0.500 0.000 Br
0.170 0.340 0.299 Br
0.830 0.170 0.701 Br
0.000 0.500 0.000 Br
0.170 0.830 0.299 Br
0.333 0.667 0.161 In
0.667 0.333 0.839 In
0.000 0.000 0.500 K



No. 7
CsKInBr4 | Alexandria via LeMat-Bulk | PBE-GGA | relaxed; raw total energy = -2.94 eV/atom; formation energy without anion corrections = -1314.9 meV/atom; calculated density = 3.5 g/cm3
1.0
7.988 0.000 0.000
0.000 8.023 0.000
-3.994 0.000 8.895
K Br Cs In
2 8 2 2
Direct
0.609 0.750 0.219 K
0.391 0.250 0.781 K
0.500 0.500 0.500 Br
0.578 0.250 0.157 Br
0.500 0.000 0.500 Br
0.090 0.750 0.181 Br
0.422 0.750 0.843 Br
0.910 0.250 0.819 Br
0.000 0.500 0.500 Br
0.000 0.000 0.500 Br
0.894 0.750 0.788 Cs
0.106 0.250 0.212 Cs
0.254 0.750 0.507 In
0.746 0.250 0.493 In



No. 8
CsLaIn2Br6 | Alexandria via LeMat-Bulk | PBE-GGA | relaxed; raw total energy = -3.56 eV/atom; formation energy without anion corrections = -1432.0 meV/atom; calculated density = 3.7 g/cm3
1.0
-3.535 0.170 7.583
-3.042 -7.028 3.376
4.319 -3.635 6.725
Br In La Cs
6 2 1 1
Direct
0.371 0.702 0.763 Br
0.703 0.163 0.764 Br
0.567 0.234 0.235 Br
0.963 0.568 0.235 Br
0.164 0.371 0.763 Br
0.234 0.964 0.236 Br
0.521 0.521 0.437 In
0.009 0.009 0.973 In
0.324 0.323 0.029 La
0.806 0.807 0.580 Cs



No. 9
Cs2LiInBr5 | Alexandria via LeMat-Bulk | PBE-GGA | relaxed; raw total energy = -2.98 eV/atom; formation energy without anion corrections = -1348.8 meV/atom; calculated density = 3.6 g/cm3
1.0
-1.358 2.282 4.396
-6.277 -8.347 -0.605
9.500 -7.644 6.902
Cs Br Li In
4 10 2 2
Direct
0.885 0.769 0.181 Cs
0.130 0.259 0.324 Cs
0.870 0.741 0.824 Cs
0.115 0.231 0.681 Cs
0.700 0.400 0.127 Br
0.309 0.618 0.341 Br
0.935 0.869 0.522 Br
0.065 0.131 0.022 Br
0.657 0.315 0.507 Br
0.300 0.600 0.627 Br
0.343 0.685 0.007 Br
0.502 0.005 0.799 Br
0.498 0.995 0.299 Br
0.691 0.382 0.841 Br
0.228 0.456 0.063 Li
0.772 0.544 0.563 Li
0.585 0.171 0.959 In
0.415 0.829 0.459 In



No. 10
CsLiIn2Br4 | Alexandria via LeMat-Bulk | PBE-GGA | relaxed; raw total energy = -2.94 eV/atom; formation energy without anion corrections = -1071.6 meV/atom; calculated density = 3.7 g/cm3
1.0
9.542 -0.022 -0.031
-0.029 9.542 -0.031
-4.717 -4.720 6.769
Li In Br Cs
2 4 8 2
Direct
0.000 0.000 0.000 Li
0.500 0.500 0.500 Li
0.500 0.000 0.500 In
0.500 0.000 0.000 In
0.500 0.500 0.000 In
0.000 0.000 0.500 In
0.260 0.242 0.514 Br
0.205 0.827 0.016 Br
0.673 0.295 0.484 Br
0.258 0.240 0.986 Br
0.327 0.705 0.516 Br
0.742 0.760 0.014 Br
0.740 0.758 0.486 Br
0.795 0.173 0.984 Br
0.000 0.500 0.500 Cs
0.000 0.500 0.000 Cs



No. 11
Cs2LiInBr6 | Alexandria via LeMat-Bulk | PBE-GGA | relaxed; raw total energy = -3.01 eV/atom; formation energy without anion corrections = -1371.4 meV/atom; calculated density = 4.2 g/cm3
1.0
-6.297 -4.555 0.983
0.879 -7.505 2.064
-2.049 -2.351 7.185
Br Cs In Li
6 2 1 1
Direct
0.746 0.746 0.254 Br
0.254 0.746 0.254 Br
0.746 0.254 0.746 Br
0.746 0.254 0.254 Br
0.254 0.746 0.746 Br
0.254 0.254 0.746 Br
0.250 0.250 0.250 Cs
0.750 0.750 0.750 Cs
0.500 0.500 0.500 In
0.000 0.000 0.000 Li



No. 12
Cs2LiInBr4 | Alexandria via LeMat-Bulk | PBE-GGA | relaxed; raw total energy = -2.99 eV/atom; formation energy without anion corrections = -1358.4 meV/atom; calculated density = 3.7 g/cm3
1.0
-2.269 8.862 2.770
-4.404 -3.350 7.794
9.202 -2.295 -1.668
Cs Br In Li
4 8 2 2
Direct
0.500 0.500 0.000 Cs
0.500 0.000 0.000 Cs
0.500 0.000 0.500 Cs
0.000 0.000 0.500 Cs
0.248 0.264 0.479 Br
0.192 0.781 0.987 Br
0.281 0.692 0.487 Br
0.808 0.219 0.013 Br
0.719 0.308 0.513 Br
0.764 0.748 0.979 Br
0.236 0.252 0.021 Br
0.752 0.736 0.521 Br
0.000 0.500 0.000 In
0.000 0.500 0.500 In
0.000 0.000 0.000 Li
0.500 0.500 0.500 Li